Model i:
Ba2TaCl | PBE-GGA | optimized geometry

abc: 7.1742 7.1742 7.1742
angles: 152.33 134.55 54.04
Last column: nearest neighbours and their distance in Å.
Sites, in units of the cell vectors:
Ba: 0.0000 0.0000 0.0000  4 Cl 3.29, 2 Ba 3.43
Ba: 0.7010 0.2010 0.5000  4 Ta 3.41, 4 Ba 3.43-3.78, 2 Cl 3.47
Ta: 0.2807 0.7807 0.5000  2 Cl 2.92
Cl: 0.4655 0.4655 0.0000  2 Ta 2.92

---

Model ii:
Ba2TaCl | PBE-GGA | optimized geometry

abc: 5.9301 5.9301 5.9301
angles: 60.00 60.00 60.00
Last column: nearest neighbours and their distance in Å.
Sites, in units of the cell vectors:
Ba: 0.2500 0.2500 0.2500  4 Cl 3.63, 4 Ta 3.63
Ba: 0.7500 0.7500 0.7500  4 Ta 3.63, 4 Cl 3.63
Ta: 0.0000 0.0000 0.0000  8 Ba 3.63
Cl: 0.5000 0.5000 0.5000  8 Ba 3.63

---

model i wins, 146 meV per atom ahead of the next structure.

---

Model i:
Ba2TaCl | PBE-GGA | optimized geometry

abc: 6.1506 6.1506 6.1506
angles: 130.36 112.33 88.42
Last column: nearest neighbours and their distance in Å.
Sites, in units of the cell vectors:
Ba: 0.2262 0.2262 0.0000  2 Cl 3.26, 2 Ta 3.53
Ba: 0.7738 0.7738 0.0000  2 Cl 3.26, 2 Ta 3.53
Ta: 0.5000 0.0000 0.5000  4 Ba 3.53
Cl: 0.0000 0.5000 0.5000  4 Ba 3.26

---

Model ii:
Ba2TaCl | PBE-GGA | optimized geometry

abc: 4.6971 4.6971 6.5902
angles: 90.00 90.00 90.00
Last column: nearest neighbours and their distance in Å.
Sites, in units of the cell vectors:
Ba: 0.0000 0.0000 0.0000  2 Ta 3.29-3.30, 4 Cl 3.32
Ba: 0.5000 0.5000 0.4989  2 Cl 3.29-3.30, 4 Ta 3.32
Ta: 0.0000 0.0000 0.4999  6 Ba 3.29-3.32
Cl: 0.5000 0.5000 0.9992  6 Ba 3.29-3.32

---

Model iii:
Ba2TaCl | PBE-GGA | optimized geometry

abc: 5.6644 6.5583 6.5583
angles: 30.98 90.00 90.00
Last column: nearest neighbours and their distance in Å.
Sites, in units of the cell vectors:
Ba: 0.0000 0.0000 0.0000  1 Ta 3.16, 4 Cl 3.34, 2 Ba 3.50
Ba: 0.5000 0.2643 0.2643  1 Cl 3.18, 4 Ta 3.33, 2 Ba 3.50
Ta: 0.0000 0.7498 0.7498  5 Ba 3.16-3.33, 2 Ta 3.50
Cl: 0.5000 0.5157 0.5157  5 Ba 3.18-3.34, 2 Cl 3.50

---

Model iv:
Ba2TaCl | PBE-GGA | optimized geometry

abc: 9.9494 9.9494 9.9494
angles: 23.49 23.49 23.49
Last column: nearest neighbours and their distance in Å.
Sites, in units of the cell vectors:
Ba: 0.2480 0.2480 0.2480  3 Cl 3.32, 3 Ta 3.40
Ba: 0.7520 0.7520 0.7520  3 Cl 3.32, 3 Ta 3.40
Ta: 0.0000 0.0000 0.0000  6 Ba 3.40
Cl: 0.5000 0.5000 0.5000  6 Ba 3.32

---

model iv wins, 77 meV per atom ahead of the next structure.

---

Model i:
BaTaCl | PBE-GGA | optimized geometry

abc: 5.1562 5.1562 3.8847
angles: 90.00 90.00 120.00
Last column: nearest neighbours and their distance in Å.
Sites, in units of the cell vectors:
Ba: 0.0000 0.0000 0.0000  6 Cl 3.55, 6 Ta 3.55, 2 Ba 3.88
Ta: 0.3333 0.6667 0.5000  3 Cl 2.98
Cl: 0.6667 0.3333 0.5000  3 Ta 2.98

---

Model ii:
BaTaCl | PBE-GGA | optimized geometry

abc: 3.4060 3.4060 7.7268
angles: 90.00 90.00 120.00
Last column: nearest neighbours and their distance in Å.
Sites, in units of the cell vectors:
Ba: 0.0000 0.0000 0.0000  6 Ba 3.41, 3 Ta 3.41, 3 Cl 3.79
Ta: 0.3333 0.6667 0.6394  3 Cl 2.60
Cl: 0.6667 0.3333 0.4200  3 Ta 2.60

---

model ii wins, 490 meV per atom ahead of the next structure.